Record 1
PBE-GGA SrP, optimized geometry; E = -4.336 eV/atom; total magnetization = 0.5 Bohr magnetons per cell; formation enthalpy at 0 K = -790 meV/atom; volume = 64 Å³/f.u.
1.0
2.160 7.261 0.074
-2.160 7.261 0.074
0.000 3.168 6.199
P Sr
3 3
Direct
0.584 0.584 0.135
0.436 0.436 0.803
0.592 0.592 0.797
0.067 0.067 0.484
0.923 0.923 0.119
0.232 0.232 0.829

***

Record 2
PBE-GGA SrP3, optimized geometry; E = -4.251 eV/atom; total magnetization = 0.0 Bohr magnetons per cell; formation enthalpy at 0 K = 226 meV/atom; volume = 81 Å³/f.u.
1.0
5.454 0.000 0.000
0.000 5.454 0.000
0.000 0.000 5.454
P Sr
6 2
Direct
0.250 0.500 0.000
0.750 0.500 0.000
0.500 0.000 0.750
0.000 0.750 0.500
0.500 0.000 0.250
0.000 0.250 0.500
0.000 0.000 0.000
0.500 0.500 0.500

***

Record 3
PBE-GGA SrP2, optimized geometry; E = -4.756 eV/atom; total magnetization = 0.0 Bohr magnetons per cell; formation enthalpy at 0 K = -589 meV/atom; volume = 79 Å³/f.u.
1.0
2.010 -4.569 2.904
5.046 -2.306 1.605
1.915 1.763 7.550
P Sr
4 2
Direct
0.719 0.719 0.443
0.281 0.281 0.557
0.861 0.861 0.156
0.139 0.139 0.844
0.433 0.433 0.819
0.567 0.567 0.181

***

Record 4
PBE-GGA Sr3P, optimized geometry; excess energy over the best structure of this formula in the dataset = 3.7 kJ/mol of atoms; E = -3.191 eV/atom; total magnetization = 3.2 Bohr magnetons per cell; formation enthalpy at 0 K = -577 meV/atom; volume = 159 Å³/f.u.
1.0
7.127 0.000 0.000
0.000 7.916 0.000
0.000 0.000 11.245
Sr P
12 4
Direct
0.689 0.168 0.921
0.811 0.668 0.579
0.823 0.944 0.250
0.189 0.332 0.079
0.689 0.168 0.579
0.177 0.056 0.750
0.311 0.832 0.079
0.677 0.444 0.250
0.811 0.668 0.921
0.189 0.332 0.421
0.311 0.832 0.421
0.323 0.556 0.750
0.929 0.381 0.750
0.571 0.881 0.750
0.071 0.619 0.250
0.429 0.119 0.250

***

Record 5
PBE-GGA Sr5P, optimized geometry; excess energy over the best structure of this formula in the dataset = 12.9 kJ/mol of atoms; E = -2.490 eV/atom; total magnetization = 0.0 Bohr magnetons per cell; formation enthalpy at 0 K = -187 meV/atom; volume = 316 Å³/f.u.
1.0
4.650 -8.055 0.000
4.650 8.055 0.000
0.000 0.000 4.222
Sr P
5 1
Direct
0.235 0.235 0.000
0.667 0.333 0.500
0.765 0.000 0.000
0.000 0.765 0.000
0.333 0.667 0.500
0.000 0.000 0.500

***

Record 6
PBE-GGA SrP, optimized geometry; E = -4.217 eV/atom; total magnetization = 0.0 Bohr magnetons per cell; formation enthalpy at 0 K = -671 meV/atom; volume = 57 Å³/f.u.
1.0
-1.841 2.509 3.106
1.841 -2.509 3.106
1.841 2.509 -3.106
Sr P
1 1
Direct
0.500 0.500 0.000
0.000 0.000 0.000

***

Ρ for every record listed, in sequence, given in g/cm³: 3.05, 3.70, 3.14, 3.08, 2.46, 3.43.